No. 1
AgAu2 | GGA-PBEsol | relaxed

Calculated formation energy   312 meV per atom
Offset from the most stable computed form   362 meV per atom

abc: 4.3803 4.3803 4.3803
angles: 60.00 60.00 60.00
Last column: nearest neighbours and their distance in Å.
Fractional coordinates of all 3 atoms:
Au  0.7500  0.7500  0.7500  4 Ag 2.68
Au  0.2500  0.2500  0.2500  4 Ag 2.68
Ag  0.0000  0.0000  0.0000  8 Au 2.68

***

No. 2
HfSc2SbAu | GGA-PBEsol | relaxed

Uncorrected formation energy   -0.050 eV/atom

abc: 5.0498 5.0498 5.0654
angles: 90.00 90.00 90.00
Last column: nearest neighbours and their distance in Å.
Fractional coordinates of all 5 atoms:
Sc  0.0000  0.5000  0.0000  2 Au 2.52
Sc  0.5000  0.0000  0.0000  2 Au 2.52
Hf  0.0000  0.0000  0.5000  2 Au 2.53
Au  0.0000  0.0000  0.0000  4 Sc 2.52, 2 Hf 2.53
Sb  0.5000  0.5000  0.5000  4 Hf 3.57, 8 Sc 3.58

***

No. 3
InReAg | GGA-PBEsol | relaxed

Calculated formation energy   680 meV per atom
Offset from the most stable computed form   53 meV per atom

abc: 2.7496 4.2511 5.0289
angles: 115.00 105.87 90.00
Last column: nearest neighbours and their distance in Å.
Fractional coordinates of all 3 atoms:
Re  0.3357  0.3357  0.6714  2 Re 2.75, 5 Ag 2.89-2.95, 5 In 2.89-2.92
Ag  0.9960  0.9960  0.9919  2 Ag 2.75, 5 In 2.85-2.94, 5 Re 2.89-2.95
In  0.6683  0.6683  0.3366  2 In 2.75, 5 Ag 2.85-2.94, 5 Re 2.89-2.92

***

No. 4
Ta2ZnBr | GGA-PBEsol | relaxed

Uncorrected formation energy   0.521 eV/atom
Offset from the most stable computed form   199 meV per atom

abc: 3.1275 4.6315 4.8307
angles: 90.00 90.00 90.00
Last column: nearest neighbours and their distance in Å.
Fractional coordinates of all 4 atoms:
Br  0.0000  0.5000  0.5000  4 Ta 2.79, 4 Zn 2.88, 2 Br 3.13
Ta  0.0000  0.0000  0.0000  4 Zn 2.79, 6 Ta 2.88-3.13
Ta  0.5000  0.0000  0.5000  4 Br 2.79, 6 Ta 2.88-3.13
Zn  0.5000  0.5000  0.0000  4 Ta 2.79, 4 Br 2.88, 2 Zn 3.13

***

No. 5
ZrHg2Ir | GGA-PBEsol | relaxed

Calculated formation energy   -125 meV per atom

abc: 3.4765 4.5610 5.1864
angles: 104.31 109.58 90.00
Last column: nearest neighbours and their distance in Å.
Fractional coordinates of all 4 atoms:
Hg  0.2567  0.2589  0.5133  4 Hg 2.83-2.91, 3 Ir 2.92-2.99, 3 Zr 2.92-3.03
Hg  0.7433  0.7411  0.4867  4 Hg 2.83-2.91, 3 Ir 2.92-2.99, 3 Zr 2.92-3.03
Ir  0.0000  0.5000  0.0000  4 Zr 2.87, 6 Hg 2.92-2.99
Zr  0.5000  0.0000  0.0000  4 Ir 2.87, 6 Hg 2.92-3.03

***

No. 6
CsBe3Au | GGA-PBEsol | relaxed

Calculated formation energy   2612 meV per atom

abc: 6.2525 6.2525 6.2525
angles: 90.00 90.00 90.00
Last column: nearest neighbours and their distance in Å.
Fractional coordinates of all 5 atoms:
Cs  0.0000  0.0000  0.0000  6 Be 3.13
Be  0.0000  0.5000  0.0000  2 Cs 3.13
Be  0.0000  0.0000  0.5000  2 Cs 3.13
Be  0.5000  0.0000  0.0000  2 Cs 3.13
Au  0.5000  0.5000  0.5000  12 Be 4.42

***

No. 7
LiVOF3 | GGA-PBEsol | relaxed

Uncorrected formation energy   -2.718 eV/atom
Offset from the most stable computed form   108 meV per atom

abc: 5.0301 6.9812 7.9431
angles: 90.00 90.00 90.00
Last column: nearest neighbours and their distance in Å.
Fractional coordinates of all 24 atoms:
Li  0.5407  0.8318  0.1376  3 F 1.87-2.04, 1 O 2.06
Li  0.5407  0.6682  0.6376  3 F 1.87-2.04, 1 O 2.06
Li  0.4593  0.3318  0.1376  3 F 1.87-2.04, 1 O 2.06
Li  0.4593  0.1682  0.6376  3 F 1.87-2.04, 1 O 2.06
V  0.9594  0.5112  0.9584  1 O 1.62
V  0.9594  0.9888  0.4584  1 O 1.62
V  0.0407  0.0112  0.9584  1 O 1.62
V  0.0407  0.4888  0.4584  1 O 1.62
O  0.8496  0.9559  0.2694  1 V 1.62
O  0.8496  0.5441  0.7694  1 V 1.62
O  0.1504  0.4559  0.2694  1 V 1.62
O  0.1504  0.0441  0.7694  1 V 1.62
F  0.6822  0.9267  0.6079  1 V 1.88, 2 Li 1.95-2.04
F  0.6822  0.5733  0.1079  1 V 1.88, 2 Li 1.95-2.04
F  0.3178  0.4267  0.6079  1 V 1.88, 2 Li 1.95-2.04
F  0.3178  0.0733  0.1079  1 V 1.88, 2 Li 1.95-2.04
F  0.7063  0.9058  0.9376  1 V 1.84, 1 Li 1.87
F  0.7063  0.5942  0.4376  1 V 1.84, 1 Li 1.87
F  0.2937  0.4058  0.9376  1 V 1.84, 1 Li 1.87
F  0.2937  0.0942  0.4376  1 V 1.84, 1 Li 1.87
F  0.1528  0.7501  0.5082  2 V 1.95-1.97
F  0.1528  0.7499  0.0082  2 V 1.95-1.97
F  0.8472  0.2501  0.5082  2 V 1.95-1.97
F  0.8472  0.2499  0.0082  2 V 1.95-1.97

***

No. 8
NdAs | GGA-PBEsol | relaxed

Calculated formation energy   -1513 meV per atom

abc: 4.2122 4.2122 4.2122
angles: 60.00 60.00 60.00
Last column: nearest neighbours and their distance in Å.
Fractional coordinates of all 2 atoms:
As  0.0000  0.0000  0.0000  6 Nd 2.98
Nd  0.5000  0.5000  0.5000  6 As 2.98

***

No. 9
FeHS2N | GGA-PBEsol | relaxed

Uncorrected energy   -5.06 eV per atom

abc: 3.3186 4.5038 4.5038
angles: 90.00 90.00 90.00
Last column: nearest neighbours and their distance in Å.
Fractional coordinates of all 5 atoms:
H  0.5000  0.5000  0.5000  8 S 2.80
S  0.0000  0.0000  0.5000  2 Fe 2.25
S  0.0000  0.5000  0.0000  2 Fe 2.25
Fe  0.0000  0.0000  0.0000  2 N 1.66
N  0.5000  0.0000  0.0000  2 Fe 1.66

***

No. 10
CeSi3Ru | GGA-PBEsol | relaxed

Uncorrected formation energy   -0.754 eV/atom

abc: 4.1376 4.1376 5.7425
angles: 111.10 111.10 90.01
Last column: nearest neighbours and their distance in Å.
Fractional coordinates of all 5 atoms:
Ru  0.2338  0.2338  0.4673  5 Si 2.31-2.34
Si  0.8437  0.3437  0.6874  2 Ru 2.34, 2 Si 2.58
Si  0.3437  0.8437  0.6874  2 Ru 2.34, 2 Si 2.58
Si  0.9995  0.9995  0.9990  1 Ru 2.31, 4 Si 2.58
Ce  0.5745  0.5745  0.1490  12 Si 3.02-3.37, 5 Ru 3.32-3.37

***

No. 11
In2RuCl | GGA-PBEsol | relaxed

Uncorrected formation energy   0.005 eV/atom
Offset from the most stable computed form   0 meV per atom

abc: 2.9824 4.9748 4.9748
angles: 90.00 90.00 90.00
Last column: nearest neighbours and their distance in Å.
Fractional coordinates of all 4 atoms:
Ru  0.6192  0.5000  0.5000  8 In 2.90, 2 Ru 2.98
Cl  0.6210  0.0000  0.0000  8 In 2.90, 2 Cl 2.98
In  0.1195  0.0000  0.5000  4 Cl 2.90, 4 Ru 2.90, 2 In 2.98
In  0.1195  0.5000  0.0000  4 Cl 2.90, 4 Ru 2.90, 2 In 2.98

***

No. 12
Sr4BrCl | GGA-PBEsol | relaxed

Uncorrected formation energy   -0.177 eV/atom

abc: 7.4201 7.4201 7.4201
angles: 60.00 60.00 60.00
Last column: nearest neighbours and their distance in Å.
Fractional coordinates of all 6 atoms:
Br  0.7500  0.7500  0.7500  12 Sr 4.35, 4 Cl 4.54
Cl  0.0000  0.0000  0.0000  12 Sr 4.35, 4 Br 4.54
Sr  0.3751  0.3751  0.3751  6 Sr 3.71
Sr  0.3751  0.3751  0.8747  6 Sr 3.71
Sr  0.8747  0.3751  0.3751  6 Sr 3.71
Sr  0.3751  0.8747  0.3751  6 Sr 3.71

***

No. 13
Ti2ReP2 | GGA-PBEsol | relaxed

Calculated formation energy   -928 meV per atom
Offset from the most stable computed form   0 meV per atom

abc: 3.4058 6.2808 6.2808
angles: 90.00 90.00 90.00
Last column: nearest neighbours and their distance in Å.
Fractional coordinates of all 10 atoms:
Re  0.0000  0.0000  0.0000  4 P 2.43
Re  0.0000  0.5000  0.5000  4 P 2.43
P  0.0000  0.3615  0.8615  2 Re 2.43, 1 P 2.46, 6 Ti 2.46-2.54
P  0.0000  0.8615  0.6385  2 Re 2.43, 1 P 2.46, 6 Ti 2.46-2.54
P  0.0000  0.6385  0.1385  2 Re 2.43, 1 P 2.46, 6 Ti 2.46-2.54
P  0.0000  0.1385  0.3615  2 Re 2.43, 1 P 2.46, 6 Ti 2.46-2.54
Ti  0.5000  0.1609  0.6609  6 P 2.46-2.54
Ti  0.5000  0.6609  0.8391  6 P 2.46-2.54
Ti  0.5000  0.8391  0.3391  6 P 2.46-2.54
Ti  0.5000  0.3391  0.1609  6 P 2.46-2.54

***

No. 14
LiTl2Pd2 | GGA-PBEsol | relaxed

Calculated formation energy   -257 meV per atom

abc: 3.5918 7.2324 7.2324
angles: 90.00 90.00 90.00
Last column: nearest neighbours and their distance in Å.
Fractional coordinates of all 10 atoms:
Tl  0.5000  0.1638  0.6638  6 Pd 2.71-2.83
Tl  0.5000  0.6638  0.8362  6 Pd 2.71-2.83
Tl  0.5000  0.8362  0.3362  6 Pd 2.71-2.83
Tl  0.5000  0.3362  0.1638  6 Pd 2.71-2.83
Pd  0.0000  0.3621  0.8621  6 Tl 2.71-2.83, 2 Li 2.80, 1 Pd 2.82
Pd  0.0000  0.8621  0.6379  6 Tl 2.71-2.83, 2 Li 2.80, 1 Pd 2.82
Pd  0.0000  0.6379  0.1379  6 Tl 2.71-2.83, 2 Li 2.80, 1 Pd 2.82
Pd  0.0000  0.1379  0.3621  6 Tl 2.71-2.83, 2 Li 2.80, 1 Pd 2.82
Li  0.0000  0.0000  0.0000  4 Pd 2.80
Li  0.0000  0.5000  0.5000  4 Pd 2.80

***

No. 15
K2Cu2Hg | GGA-PBEsol | relaxed

Calculated formation energy   215 meV per atom

abc: 3.4213 3.4213 11.0779
angles: 98.88 98.88 90.00
Last column: nearest neighbours and their distance in Å.
Fractional coordinates of all 5 atoms:
K  0.3774  0.3774  0.7547  4 Cu 3.24, 4 K 3.42, 4 Hg 3.59
K  0.6226  0.6226  0.2453  4 Cu 3.24, 4 K 3.42, 4 Hg 3.59
Hg  0.0000  0.0000  0.0000  4 Hg 3.42, 8 K 3.59
Cu  0.2500  0.7500  0.5000  4 Cu 2.42
Cu  0.7500  0.2500  0.5000  4 Cu 2.42

***

No. 16
RbBe2Co2 | GGA-PBEsol | relaxed

Calculated formation energy   653 meV per atom

abc: 4.0630 4.0630 6.6582
angles: 107.76 107.76 90.00
Last column: nearest neighbours and their distance in Å.
Fractional coordinates of all 5 atoms:
Be  0.2500  0.7500  0.5000  4 Co 2.04
Be  0.7500  0.2500  0.5000  4 Co 2.04
Co  0.2618  0.2618  0.5237  4 Be 2.04
Co  0.7382  0.7382  0.4763  4 Be 2.04
Rb  0.0000  0.0000  0.0000  2 Co 3.15

***

No. 17
Ta2CuSi | GGA-PBEsol | relaxed

Uncorrected formation energy   0.271 eV/atom

abc: 4.4070 4.4070 4.4070
angles: 60.00 60.00 60.00
Last column: nearest neighbours and their distance in Å.
Fractional coordinates of all 4 atoms:
Cu  0.5000  0.5000  0.5000  4 Ta 2.70, 4 Si 2.70
Si  0.2500  0.2500  0.2500  4 Cu 2.70, 4 Ta 2.70
Ta  0.0000  0.0000  0.0000  4 Si 2.70, 4 Ta 2.70
Ta  0.7500  0.7500  0.7500  4 Cu 2.70, 4 Ta 2.70

***

No. 18
YGe3C | GGA-PBEsol | relaxed

Calculated formation energy   2194 meV per atom

abc: 5.3214 5.3214 5.3214
angles: 90.00 90.00 90.00
Last column: nearest neighbours and their distance in Å.
Fractional coordinates of all 5 atoms:
Y  0.0000  0.0000  0.0000  6 Ge 2.66
Ge  0.0000  0.5000  0.0000  2 Y 2.66
Ge  0.0000  0.0000  0.5000  2 Y 2.66
Ge  0.5000  0.0000  0.0000  2 Y 2.66
C  0.5000  0.5000  0.5000  12 Ge 3.76

***

No. 19
CsPO3 | GGA-PBEsol | relaxed

Uncorrected formation energy   -2.285 eV/atom

abc: 4.3294 6.7757 12.6169
angles: 95.72 90.00 90.00
Last column: nearest neighbours and their distance in Å.
Fractional coordinates of all 20 atoms:
Cs  0.6334  0.2764  0.5910  7 O 3.04-3.38
Cs  0.3666  0.7236  0.4090  7 O 3.04-3.38
Cs  0.1334  0.2236  0.9090  7 O 3.04-3.38
Cs  0.8666  0.7764  0.0910  7 O 3.04-3.38
P  0.9938  0.8150  0.6813  4 O 1.50-1.63
P  0.0062  0.1850  0.3187  4 O 1.50-1.63
P  0.4938  0.6850  0.8187  4 O 1.50-1.63
P  0.5062  0.3150  0.1813  4 O 1.50-1.63
O  0.6356  0.4839  0.8213  1 P 1.50
O  0.3644  0.5161  0.1787  1 P 1.50
O  0.1356  0.0161  0.6787  1 P 1.50
O  0.8644  0.9839  0.3213  1 P 1.50
O  0.7455  0.8396  0.7786  2 P 1.63
O  0.2545  0.1604  0.2214  2 P 1.63
O  0.2455  0.6604  0.7214  2 P 1.63
O  0.7545  0.3396  0.2786  2 P 1.63
O  0.8502  0.7109  0.5833  1 P 1.50
O  0.1498  0.2891  0.4167  1 P 1.50
O  0.3502  0.7891  0.9167  1 P 1.50
O  0.6498  0.2109  0.0833  1 P 1.50

***

No. 20
NaSb2Se2 | GGA-PBEsol | relaxed

Uncorrected formation energy   -0.154 eV/atom

abc: 4.2534 4.2534 8.0237
angles: 105.37 105.37 90.00
Last column: nearest neighbours and their distance in Å.
Fractional coordinates of all 5 atoms:
Sb  0.2500  0.7500  0.5000  4 Sb 3.01, 4 Se 3.25
Sb  0.7500  0.2500  0.5000  4 Sb 3.01, 4 Se 3.25
Se  0.4155  0.4155  0.8310  1 Se 2.51
Se  0.5845  0.5845  0.1690  1 Se 2.51
Na  0.0000  0.0000  0.0000  8 Se 3.26

***

| no. | M_tot (μB per cell) |
| --- | --- |
| 1 | 0.00 |
| 2 | 0.00 |
| 3 | 0.00 |
| 4 | 0.00 |
| 5 | 0.00 |
| 6 | 0.00 |
| 7 | 4.00 |
| 8 | 0.00 |
| 9 | 1.02 |
| 10 | 0.00 |
| 11 | 0.31 |
| 12 | 0.01 |
| 13 | 0.00 |
| 14 | 0.00 |
| 15 | 0.00 |
| 16 | 1.24 |
| 17 | 0.00 |
| 18 | 1.14 |
| 19 | 0.00 |
| 20 | 0.00 |